No. 1
AlP2Se | PBE | optimized geometry Values from VASP.

The structure in Quantum ESPRESSO input format:
```
&SYSTEM
  ibrav = 0, nat = 4, ntyp = 3
/
ATOMIC_SPECIES
P 30.97 P.upf
Se 78.96 Se.upf
Al 26.98 Al.upf
CELL_PARAMETERS angstrom
-1.186 -2.795 2.028
1.678 -2.782 -2.854
4.621 -0.942 1.404
ATOMIC_POSITIONS angstrom
P 3.402 -1.836 -0.541
P 4.369 -0.968 1.221
Se 0.982 -2.329 0.652
Al 4.131 -4.191 -0.073
```

Output
Energy relative to the elements, uncorrected = -0.040 eV/atom
Energy above the lowest structure with this stoichiometry = 123 meV per atom



No. 2
NaSnSe | PBE | optimized geometry Values from VASP.

The structure in Quantum ESPRESSO input format:
```
&SYSTEM
  ibrav = 0, nat = 3, ntyp = 3
/
ATOMIC_SPECIES
Se 78.96 Se.upf
Na 22.99 Na.upf
Sn 118.71 Sn.upf
CELL_PARAMETERS angstrom
4.017 0.000 0.000
0.000 4.017 0.000
-2.008 -2.008 6.314
ATOMIC_POSITIONS angstrom
Se 0.000 0.000 4.929
Na 2.008 2.008 4.663
Sn 2.008 2.008 1.141
```

Output
Energy relative to the elements, uncorrected = -0.377 eV/atom
Energy above the lowest structure with this stoichiometry = 41 meV per atom



No. 3
La8Co3RuCl4 | PBE | optimized geometry Values from VASP.

The structure in Quantum ESPRESSO input format:
```
&SYSTEM
  ibrav = 0, nat = 16, ntyp = 4
/
ATOMIC_SPECIES
Ru 101.07 Ru.upf
Co 58.93 Co.upf
Cl 35.45 Cl.upf
La 138.91 La.upf
CELL_PARAMETERS angstrom
8.091 0.000 0.000
0.000 8.975 0.601
-4.045 -4.033 5.732
ATOMIC_POSITIONS angstrom
Ru 0.000 4.487 0.301
Co 2.023 2.471 3.167
Cl 0.000 0.000 0.000
La -2.009 2.404 5.971
La 6.054 2.538 0.363
La 4.045 4.371 3.082
La 0.000 0.570 3.252
Co -2.023 2.471 3.167
La 2.009 2.404 5.971
Cl -2.023 -2.017 2.866
La 0.000 4.410 3.122
La 4.045 0.531 3.212
Cl 4.045 0.000 0.000
Co 4.045 4.487 0.301
Cl 2.023 -2.017 2.866
La 2.037 2.538 0.363
```

Output
Energy relative to the elements, uncorrected = -0.967 eV/atom



No. 4
CeLuScTi | PBE | optimized geometry Values from VASP.

The structure in Quantum ESPRESSO input format:
```
&SYSTEM
  ibrav = 0, nat = 4, ntyp = 4
/
ATOMIC_SPECIES
Ti 47.87 Ti.upf
Ce 140.12 Ce.upf
Lu 174.97 Lu.upf
Sc 44.96 Sc.upf
CELL_PARAMETERS angstrom
-2.149 -4.735 -0.181
0.122 -2.746 -4.418
3.026 -4.218 -0.359
ATOMIC_POSITIONS angstrom
Ti 0.750 -8.774 -3.718
Ce 0.500 -5.849 -2.479
Lu 0.000 0.000 0.000
Sc 0.250 -2.925 -1.239
```

Output
Raw total energy = -5.981 eV/atom



No. 5
TcNi2I | PBE | optimized geometry Values from VASP.

The structure in Quantum ESPRESSO input format:
```
&SYSTEM
  ibrav = 0, nat = 8, ntyp = 3
/
ATOMIC_SPECIES
Ni 58.69 Ni.upf
Tc 98.00 Tc.upf
I 126.90 I.upf
CELL_PARAMETERS angstrom
-5.893 -0.669 -1.450
-1.392 -0.570 5.917
-4.207 3.739 2.520
ATOMIC_POSITIONS angstrom
Ni -9.481 1.740 5.594
Ni -2.862 0.472 4.097
Tc -4.621 1.275 5.335
I -6.871 1.225 1.652
Tc -3.642 -0.619 2.234
I 0.000 0.000 0.000
Ni -5.935 2.320 3.770
Ni -4.705 0.469 0.514
```

Output
Energy relative to the elements, uncorrected = 0.984 eV/atom
Energy above the lowest structure with this stoichiometry = 43 meV per atom



No. 6
TbGa4Cu8 | PBE | optimized geometry Values from VASP.

The structure in Quantum ESPRESSO input format:
```
&SYSTEM
  ibrav = 0, nat = 13, ntyp = 3
/
ATOMIC_SPECIES
Cu 63.55 Cu.upf
Ga 69.72 Ga.upf
Tb 158.93 Tb.upf
CELL_PARAMETERS angstrom
-4.983 0.520 0.578
-3.333 -1.358 -5.510
-2.904 -5.566 1.975
ATOMIC_POSITIONS angstrom
Cu -3.181 -2.849 -2.858
Cu -5.731 -2.014 -3.591
Cu -5.427 -2.117 -0.879
Cu -3.056 -4.075 -0.676
Ga -4.158 -0.419 -2.466
Ga -1.667 -0.679 -2.755
Cu -2.765 -1.361 -0.606
Ga -1.452 -2.783 0.987
Ga -3.944 -2.523 1.277
Cu -5.793 -4.287 -2.078
Tb 0.000 0.000 0.000
Cu -5.489 -4.390 0.635
Cu -8.456 -5.043 -2.350
```

Output
Raw total energy = -3.985 eV/atom



- Number 3 is which compound?
  La8Co3RuCl4



What did the fourth record say?
CeLuScTi | PBE | optimized geometry Values from VASP.

The structure in Quantum ESPRESSO input format:
```
&SYSTEM
  ibrav = 0, nat = 4, ntyp = 4
/
ATOMIC_SPECIES
Ti 47.87 Ti.upf
Ce 140.12 Ce.upf
Lu 174.97 Lu.upf
Sc 44.96 Sc.upf
CELL_PARAMETERS angstrom
-2.149 -4.735 -0.181
0.122 -2.746 -4.418
3.026 -4.218 -0.359
ATOMIC_POSITIONS angstrom
Ti 0.750 -8.774 -3.718
Ce 0.500 -5.849 -2.479
Lu 0.000 0.000 0.000
Sc 0.250 -2.925 -1.239
```

Output
Raw total energy = -5.981 eV/atom